1.
Li2NiP4O12, relaxed, DFT PBE with a Hubbard U; offset from the most stable computed form = 0.0000 eV per atom; magnetic moment = 0.100 μB/atom; theoretical density = 2.56 g/cm3; V = 503.5 Å³ per cell; final energy = -255.68 eV per cell
1.0
-8.124 0.713 2.380
0.779 -1.477 -8.329
-2.159 -7.612 -0.239
P O Ni Li
8 24 2 4
Direct
0.886 0.453 0.935
0.207 0.063 0.826
0.569 0.187 0.596
0.063 0.207 0.326
0.949 0.793 0.691
0.793 0.949 0.191
0.453 0.886 0.435
0.187 0.569 0.096
0.197 0.388 0.183
0.375 0.761 0.614
0.069 0.609 0.235
0.883 0.825 0.199
0.912 0.133 0.224
0.372 0.699 0.009
0.090 0.523 0.943
0.825 0.883 0.699
0.388 0.197 0.683
0.761 0.375 0.114
0.156 0.089 0.344
0.633 0.864 0.364
0.988 0.726 0.532
0.879 0.360 0.789
0.523 0.090 0.443
0.609 0.069 0.735
0.252 0.990 0.990
0.864 0.633 0.864
0.699 0.372 0.509
0.360 0.879 0.289
0.726 0.988 0.032
0.133 0.912 0.724
0.089 0.156 0.844
0.990 0.252 0.490
0.865 0.120 0.765
0.120 0.865 0.265
0.790 0.534 0.269
0.952 0.473 0.526
0.473 0.952 0.026
0.534 0.790 0.769

2.
V2HgPtO8, relaxed, DFT PBE with a Hubbard U; magnetic moment = 0.000 μB/atom; theoretical density = 5.87 g/cm3; V = 177.0 Å³ per cell; final energy = -74.46 eV per cell
1.0
5.615 0.000 0.000
-2.808 4.863 0.000
0.000 0.000 6.482
O V Pt Hg
8 2 1 1
Direct
0.689 0.813 0.700
0.187 0.876 0.700
0.311 0.187 0.300
0.333 0.667 0.022
0.876 0.689 0.300
0.813 0.124 0.300
0.124 0.311 0.700
0.667 0.333 0.978
0.667 0.333 0.230
0.333 0.667 0.770
0.000 0.000 0.500
0.000 0.000 0.000